Density functional theory data (PBE) for ScTc2Pt after structural relaxation.

Cell: 4.4750 4.4750 4.4750 Å, 60.00 60.00 60.00°
Fractional positions:
Pt: 0.2500 0.2500 0.2500
Sc: 0.0000 0.0000 0.0000
Tc: 0.7500 0.7500 0.7500
Tc: 0.5000 0.5000 0.5000

Calculated values
Its formation enthalpy at 0 K is -0.217 eV per atom. The density is 11.43 g/cm³. The space-group type is F-43m, No. 216.